Here is PmSi3Ni3 after structural relaxation from Alexandria via LeMat-Bulk. Energies are from GGA-PBE.

Properties
calculated volume: 17.24 A^3/atom
calculated density: 5.58 g cm⁻³
total DFT energy (no corrections): -5.83 eV/atom
space-group type: Pm-3n, No. 223
formation energy without anion corrections: -0.349 eV per atom

```
PmSi3Ni3
1.0
6.2260 0.0000 0.0000
0.0000 6.2260 0.0000
0.0000 0.0000 6.2260
Pm Si Ni
2 6 6
Direct
0.0000 0.0000 0.0000
0.5000 0.5000 0.5000
0.0000 0.2500 0.5000
0.0000 0.7500 0.5000
0.2500 0.5000 0.0000
0.5000 0.0000 0.2500
0.5000 0.0000 0.7500
0.7500 0.5000 0.0000
0.0000 0.5000 0.2500
0.0000 0.5000 0.7500
0.2500 0.0000 0.5000
0.5000 0.2500 0.0000
0.5000 0.7500 0.0000
0.7500 0.0000 0.5000
```


Here is La2PmY3Bi6 after structural relaxation from Alexandria via LeMat-Bulk. Energies are from GGA-PBE.

Properties
calculated volume: 33.83 A^3/atom
calculated density: 7.95 g cm⁻³
total DFT energy (no corrections): -5.73 eV/atom
space-group type: C2/m, No. 12
formation energy: -0.955 eV per atom

```
La2PmY3Bi6
1.0
3.9667 -6.8704 0.0000
3.9667 6.8704 0.0000
-2.6434 0.0000 7.4487
La Pm Y Bi
2 1 3 6
Direct
0.1661 0.8339 0.0000
0.8339 0.1661 0.0000
0.5000 0.5000 0.0000
0.0000 0.0000 0.5000
0.3320 0.6680 0.5000
0.6680 0.3320 0.5000
0.0836 0.4137 0.7404
0.2575 0.2575 0.2612
0.4137 0.0836 0.7404
0.5863 0.9164 0.2596
0.7425 0.7425 0.7388
0.9164 0.5863 0.2596
```


Here is MgSbTe2 after structural relaxation from Alexandria via LeMat-Bulk. Energies are from GGA-PBE.

Properties
calculated volume: 29.77 A^3/atom
calculated density: 5.60 g cm⁻³
total DFT energy (no corrections): -3.23 eV/atom
space-group type: Cmmm, No. 65
formation energy without anion corrections: -0.231 eV per atom

```
MgSbTe2
1.0
3.1818 -4.3158 0.0000
3.1818 4.3158 0.0000
0.0000 0.0000 4.3362
Mg Sb Te
1 1 2
Direct
0.0000 0.0000 0.0000
0.5000 0.5000 0.0000
0.2453 0.7547 0.5000
0.7547 0.2453 0.5000
```


Here is TlTeS2 after structural relaxation from Alexandria via LeMat-Bulk. Energies are from GGA-PBE.

Properties
calculated volume: 28.15 A^3/atom
calculated density: 5.84 g cm⁻³
total DFT energy (no corrections): -3.38 eV/atom
space-group type: R-3m, No. 166
formation energy without anion corrections: 0.057 eV per atom

```
TlTeS2
1.0
1.9862 1.1467 8.2394
-1.9862 1.1467 8.2394
0.0000 -2.2935 8.2394
Tl Te S
1 1 2
Direct
0.0000 0.0000 0.0000
0.5000 0.5000 0.5000
0.3957 0.3957 0.3957
0.6043 0.6043 0.6043
```


Here is Nb2VSe after structural relaxation from Alexandria via LeMat-Bulk. Energies are from GGA-PBE.

Properties
calculated volume: 18.13 A^3/atom
calculated density: 7.23 g cm⁻³
total DFT energy (no corrections): -7.89 eV/atom
space-group type: I-42d, No. 122
formation energy without anion corrections: 0.292 eV per atom

```
Nb2VSe
1.0
-1.9362 1.9362 9.6734
1.9362 -1.9362 9.6734
1.9362 1.9362 -9.6734
Nb V Se
4 2 2
Direct
0.1199 0.6250 0.9949
0.3750 0.3699 0.4949
0.6301 0.1250 0.0051
0.8750 0.8801 0.5051
0.2500 0.7500 0.5000
0.5000 0.5000 0.0000
0.0000 0.0000 0.0000
0.7500 0.2500 0.5000
```


Here is CsGe2Cl2 after structural relaxation from Alexandria via LeMat-Bulk. Energies are from GGA-PBE.

Properties
calculated volume: 35.49 A^3/atom
calculated density: 3.27 g cm⁻³
total DFT energy (no corrections): -2.93 eV/atom
space-group type: P4/mbm, No. 127
formation energy without anion corrections: -0.178 eV per atom

```
CsGe2Cl2
1.0
8.5364 0.0000 0.0000
0.0000 8.5364 0.0000
0.0000 0.0000 4.8705
Cs Ge Cl
2 4 4
Direct
0.0000 0.0000 0.0000
0.5000 0.5000 0.0000
0.2212 0.2788 0.5000
0.2788 0.7788 0.5000
0.7212 0.2212 0.5000
0.7788 0.7212 0.5000
0.1427 0.3573 0.0000
0.3573 0.8573 0.0000
0.6427 0.1427 0.0000
0.8573 0.6427 0.0000
```


Here is PrSiB after structural relaxation from Alexandria via LeMat-Bulk. Energies are from GGA-PBE.

Properties
calculated volume: 16.99 A^3/atom
calculated density: 5.86 g cm⁻³
total DFT energy (no corrections): -6.06 eV/atom
space-group type: Pmma, No. 51
formation energy without anion corrections: -0.436 eV per atom

```
PrSiB
1.0
3.6418 0.0000 0.0000
0.0000 4.4097 0.0000
0.0000 0.0000 6.3488
Pr Si B
2 2 2
Direct
0.2500 0.0000 0.2370
0.7500 0.0000 0.7630
0.2500 0.5000 0.6118
0.7500 0.5000 0.3882
0.2500 0.5000 0.9414
0.7500 0.5000 0.0586
```


Here is K3SiSe4 after structural relaxation from Alexandria via LeMat-Bulk. Energies are from GGA-PBE.

Properties
calculated volume: 32.03 A^3/atom
calculated density: 2.99 g cm⁻³
total DFT energy (no corrections): -3.75 eV/atom
space-group type: Pnma, No. 62
formation energy without anion corrections: -0.919 eV per atom

```
K3SiSe4
1.0
9.3282 0.0000 0.0000
0.0000 10.9164 0.0000
0.0000 0.0000 10.0667
K Si Se
12 4 16
Direct
0.0406 0.0463 0.1975
0.0406 0.4537 0.1975
0.1522 0.7500 0.4183
0.3478 0.2500 0.9183
0.4594 0.5463 0.6975
0.4594 0.9537 0.6975
0.5406 0.0463 0.3025
0.5406 0.4537 0.3025
0.6522 0.7500 0.0817
0.8478 0.2500 0.5817
0.9594 0.5463 0.8025
0.9594 0.9537 0.8025
0.2423 0.7500 0.9676
0.2577 0.2500 0.4676
0.7423 0.7500 0.5324
0.7577 0.2500 0.0324
0.0327 0.7500 0.0875
0.1521 0.0701 0.5404
0.1521 0.4299 0.5404
0.2094 0.7500 0.7453
0.2906 0.2500 0.2453
0.3479 0.5701 0.0404
0.3479 0.9299 0.0404
0.4673 0.2500 0.5875
0.5327 0.7500 0.4125
0.6521 0.0701 0.9596
0.6521 0.4299 0.9596
0.7094 0.7500 0.7547
0.7906 0.2500 0.2547
0.8479 0.5701 0.4596
0.8479 0.9299 0.4596
0.9673 0.2500 0.9125
```


Here is Co2IrPb after structural relaxation from Alexandria via LeMat-Bulk. Energies are from GGA-PBE.

Properties
calculated volume: 16.20 A^3/atom
calculated density: 13.26 g cm⁻³
total DFT energy (no corrections): -6.07 eV/atom
space-group type: R3m, No. 160
formation energy: 0.623 eV per atom

```
Co2IrPb
1.0
1.5014 0.8669 8.2970
-1.5014 0.8669 8.2970
0.0000 -1.7337 8.2970
Co Ir Pb
2 1 1
Direct
0.0000 0.0000 0.0000
0.2692 0.2692 0.2692
0.7433 0.7433 0.7433
0.5063 0.5063 0.5063
```


Here is Li2CoSi after structural relaxation from Alexandria via LeMat-Bulk. Energies are from GGA-PBE.

Properties
calculated volume: 11.92 A^3/atom
calculated density: 3.51 g cm⁻³
total DFT energy (no corrections): -4.20 eV/atom
space-group type: I4/mmm, No. 139
formation energy without anion corrections: -0.115 eV per atom

```
Li2CoSi
1.0
-1.6782 1.6782 4.2339
1.6782 -1.6782 4.2339
1.6782 1.6782 -4.2339
Li Co Si
2 1 1
Direct
0.2500 0.7500 0.5000
0.7500 0.2500 0.5000
0.0000 0.0000 0.0000
0.5000 0.5000 0.0000
```


Here is Ce6PbAu2 after structural relaxation from Alexandria via LeMat-Bulk. Energies are from GGA-PBE.

Properties
calculated volume: 26.82 A^3/atom
calculated density: 9.92 g cm⁻³
total DFT energy (no corrections): -5.41 eV/atom
space-group type: P-1, No. 2
formation energy: -0.317 eV per atom

```
Ce6PbAu2
1.0
5.8059 0.0000 0.0000
-0.7045 6.0832 0.0000
-1.2954 -3.0090 6.8334
Ce Pb Au
6 1 2
Direct
0.0393 0.2939 0.4954
0.1790 0.7515 0.0061
0.4415 0.3995 0.2936
0.5585 0.6005 0.7064
0.8210 0.2485 0.9939
0.9607 0.7061 0.5046
0.5000 0.0000 0.5000
0.2750 0.1759 0.8522
0.7250 0.8241 0.1478
```


Here is RbZn2Sn after structural relaxation from Alexandria via LeMat-Bulk. Energies are from GGA-PBE.

Properties
calculated volume: 30.83 A^3/atom
calculated density: 4.51 g cm⁻³
total DFT energy (no corrections): -1.92 eV/atom
space-group type: P2_1/m, No. 11
formation energy: -0.037 eV per atom

```
RbZn2Sn
1.0
4.4642 0.0000 0.0000
0.0000 7.4148 0.0000
-2.2216 0.0000 7.4506
Rb Zn Sn
2 4 2
Direct
0.0617 0.2500 0.1237
0.9383 0.7500 0.8763
0.2604 0.5858 0.5206
0.2604 0.9142 0.5206
0.7396 0.0858 0.4794
0.7396 0.4142 0.4794
0.3457 0.2500 0.6925
0.6543 0.7500 0.3075
```